[1]
A plane-wave DFT calculation with GGA-PBE was carried out for ZrCdNi3 after structural relaxation.

Results
- space group = Pm-3m
- energy above the lowest structure with this stoichiometry (eV per atom) = 0.023
- ΔH_f (0 K) (eV/atom) = 1.00

abc: 4.571 4.571 4.571
angles: 90.00 90.00 90.00
Fractional coordinates of all 5 atoms:
1 Zr 0.000 0.000 0.000
2 Cd 0.500 0.500 0.500
3 Ni 0.000 0.500 0.500
4 Ni 0.500 0.000 0.500
5 Ni 0.500 0.500 0.000

[2]
A plane-wave DFT calculation with GGA-PBE was carried out for EuCu4Sn2 after structural relaxation.

Results
- space group = I4/mcm
- ΔH_f (0 K) (eV/atom) = -0.24

abc: 6.970 6.970 6.970
angles: 108.64 108.64 111.14
Fractional coordinates of all 14 atoms:
1 Eu 0.250 0.250 0.000
2 Eu 0.750 0.750 0.000
3 Cu 0.026 0.526 0.229
4 Cu 0.202 0.974 0.500
5 Cu 0.298 0.798 0.771
6 Cu 0.474 0.702 0.500
7 Cu 0.526 0.298 0.500
8 Cu 0.702 0.202 0.229
9 Cu 0.798 0.026 0.500
10 Cu 0.974 0.474 0.771
11 Sn 0.162 0.338 0.500
12 Sn 0.338 0.838 0.175
13 Sn 0.662 0.162 0.825
14 Sn 0.838 0.662 0.500

[3]
A plane-wave DFT calculation with GGA-PBE was carried out for Dy2Cu15Pd2 after structural relaxation.

Results
- space group = R-3m
- ΔH_f (0 K) (eV/atom) = -0.19

abc: 6.498 6.498 6.498
angles: 83.28 83.28 83.28
Fractional coordinates of all 19 atoms:
1 Dy 0.163 0.163 0.163
2 Dy 0.837 0.837 0.837
3 Cu 0.000 0.500 0.500
4 Cu 0.150 0.150 0.658
5 Cu 0.150 0.658 0.150
6 Cu 0.202 0.500 0.798
7 Cu 0.202 0.798 0.500
8 Cu 0.342 0.850 0.850
9 Cu 0.500 0.000 0.500
10 Cu 0.500 0.202 0.798
11 Cu 0.500 0.500 0.000
12 Cu 0.500 0.798 0.202
13 Cu 0.658 0.150 0.150
14 Cu 0.798 0.202 0.500
15 Cu 0.798 0.500 0.202
16 Cu 0.850 0.342 0.850
17 Cu 0.850 0.850 0.342
18 Pd 0.394 0.394 0.394
19 Pd 0.606 0.606 0.606

[4]
A plane-wave DFT calculation with GGA-PBE was carried out for Pa2PbW after structural relaxation.

Results
- space group = P4/mmm
- energy above the lowest structure with this stoichiometry (eV per atom) = 0.189
- ΔH_f (0 K) (eV/atom) = 0.30

abc: 4.551 4.551 4.438
angles: 90.00 90.00 90.00
Fractional coordinates of all 4 atoms:
1 Pa 0.000 0.500 0.000
2 Pa 0.500 0.000 0.000
3 Pb 0.000 0.000 0.500
4 W 0.500 0.500 0.500

[5]
A plane-wave DFT calculation with GGA-PBE was carried out for Zn2GaBi after structural relaxation.

Results
- space group = R3m
- energy above the lowest structure with this stoichiometry (eV per atom) = 0.004
- ΔH_f (0 K) (eV/atom) = 0.13

abc: 6.362 6.362 6.362
angles: 38.20 38.20 38.20
Fractional coordinates of all 4 atoms:
1 Zn 0.000 0.000 0.000
2 Zn 0.205 0.205 0.205
3 Ga 0.608 0.608 0.608
4 Bi 0.437 0.437 0.437

[6]
A plane-wave DFT calculation with GGA-PBE was carried out for Zr2SnI after structural relaxation.

Results
- space group = I-42d
- energy above the lowest structure with this stoichiometry (eV per atom) = 0.487

abc: 10.812 10.812 10.812
angles: 155.82 155.82 34.46
Fractional coordinates of all 8 atoms:
1 Zr 0.117 0.625 0.992
2 Zr 0.375 0.367 0.492
3 Zr 0.633 0.125 0.008
4 Zr 0.875 0.883 0.508
5 Sn 0.000 0.000 0.000
6 Sn 0.750 0.250 0.500
7 I 0.250 0.750 0.500
8 I 0.500 0.500 0.000

[7]
A plane-wave DFT calculation with GGA-PBE was carried out for KBeAg2 after structural relaxation.

Results
- space group = F-43m
- ΔH_f (0 K) (eV/atom) = 0.67

abc: 4.969 4.969 4.969
angles: 60.00 60.00 60.00
Fractional coordinates of all 4 atoms:
1 K 0.000 0.000 0.000
2 Be 0.750 0.750 0.750
3 Ag 0.250 0.250 0.250
4 Ag 0.500 0.500 0.500

[8]
A plane-wave DFT calculation with GGA-PBE was carried out for BeZn2Tc after structural relaxation.

Results
- space group = I4/mmm
- ΔH_f (0 K) (eV/atom) = 0.04

abc: 4.867 4.867 4.867
angles: 138.05 138.05 60.83
Fractional coordinates of all 4 atoms:
1 Be 0.000 0.000 0.000
2 Zn 0.250 0.750 0.500
3 Zn 0.750 0.250 0.500
4 Tc 0.500 0.500 0.000

[9]
A plane-wave DFT calculation with GGA-PBE was carried out for LiTe4Pd4 after structural relaxation.

Results
- energy (eV/atom) = -4.228
- space group = I-42m

abc: 7.499 7.499 7.499
angles: 132.77 132.77 69.01
Fractional coordinates of all 9 atoms:
1 Li 0.000 0.000 0.000
2 Te 0.147 0.597 0.000
3 Te 0.403 0.403 0.549
4 Te 0.597 0.147 0.000
5 Te 0.853 0.853 0.451
6 Pd 0.000 0.500 0.500
7 Pd 0.225 0.225 0.000
8 Pd 0.500 0.000 0.500
9 Pd 0.775 0.775 0.000

[10]
A plane-wave DFT calculation with GGA-PBE was carried out for Dy3Tm2Se6 after structural relaxation.

Results
- space group = R-3m
- energy above the lowest structure with this stoichiometry (eV per atom) = 0.073

abc: 20.308 20.308 20.308
angles: 11.52 11.52 11.52
Fractional coordinates of all 11 atoms:
1 Dy 0.000 0.000 0.000
2 Dy 0.279 0.279 0.279
3 Dy 0.721 0.721 0.721
4 Tm 0.446 0.446 0.446
5 Tm 0.554 0.554 0.554
6 Se 0.083 0.083 0.083
7 Se 0.197 0.197 0.197
8 Se 0.361 0.361 0.361
9 Se 0.639 0.639 0.639
10 Se 0.803 0.803 0.803
11 Se 0.917 0.917 0.917

[11]
A plane-wave DFT calculation with GGA-PBE was carried out for ZrCrIn3 after structural relaxation.

Results
- space group = Pm-3m
- energy above the lowest structure with this stoichiometry (eV per atom) = 0.000
- ΔH_f (0 K) (eV/atom) = 0.65

abc: 4.981 4.981 4.981
angles: 90.00 90.00 90.00
Fractional coordinates of all 5 atoms:
1 Zr 0.000 0.000 0.000
2 Cr 0.500 0.500 0.500
3 In 0.000 0.500 0.500
4 In 0.500 0.000 0.500
5 In 0.500 0.500 0.000

[12]
A plane-wave DFT calculation with GGA-PBE was carried out for K2YAg after structural relaxation.

Results
- space group = Cm
- energy above the lowest structure with this stoichiometry (eV per atom) = 0.138
- ΔH_f (0 K) (eV/atom) = 0.23

abc: 5.503 5.503 9.581
angles: 105.20 105.20 41.14
Fractional coordinates of all 4 atoms:
1 K 0.000 0.000 0.000
2 K 0.162 0.162 0.623
3 Y 0.814 0.814 0.311
4 Ag 0.527 0.527 0.311

[13]
A plane-wave DFT calculation with GGA-PBE was carried out for LiPrHo2Cd4 after structural relaxation.

Results
- space group = R-3m
- ΔH_f (0 K) (eV/atom) = -0.26

abc: 9.229 9.229 9.229
angles: 32.73 32.73 32.73
Fractional coordinates of all 8 atoms:
1 Li 0.000 0.000 0.000
2 Pr 0.500 0.500 0.500
3 Ho 0.254 0.254 0.254
4 Ho 0.746 0.746 0.746
5 Cd 0.115 0.115 0.115
6 Cd 0.372 0.372 0.372
7 Cd 0.628 0.628 0.628
8 Cd 0.885 0.885 0.885

[14]
A plane-wave DFT calculation with GGA-PBE was carried out for NbFeSe6 after structural relaxation.

Results
- energy (eV/atom) = -5.148
- space group = P-1

abc: 5.926 6.093 6.173
angles: 70.75 63.89 63.81
Fractional coordinates of all 8 atoms:
1 Nb 0.000 0.000 0.000
2 Fe 0.500 0.500 0.500
3 Se 0.057 0.737 0.732
4 Se 0.319 0.584 0.183
5 Se 0.410 0.114 0.672
6 Se 0.590 0.886 0.328
7 Se 0.681 0.416 0.817
8 Se 0.943 0.263 0.268

[15]
A plane-wave DFT calculation with GGA-PBE was carried out for YHPt2 after structural relaxation.

Results
- space group = I-42d
- energy above the lowest structure with this stoichiometry (eV per atom) = 0.000

abc: 5.493 5.493 5.493
angles: 111.15 111.15 106.16
Fractional coordinates of all 8 atoms:
1 Y 0.000 0.000 0.000
2 Y 0.750 0.250 0.500
3 H 0.250 0.750 0.500
4 H 0.500 0.500 0.000
5 Pt 0.278 0.125 0.653
6 Pt 0.375 0.722 0.847
7 Pt 0.472 0.625 0.347
8 Pt 0.875 0.528 0.153

[16]
A plane-wave DFT calculation with GGA-PBE was carried out for Ho4AlRh after structural relaxation.

Results
- space group = C2/c
- energy above the lowest structure with this stoichiometry (eV per atom) = 0.099
- ΔH_f (0 K) (eV/atom) = -0.43

abc: 7.961 7.961 5.967
angles: 104.03 104.03 112.64
Fractional coordinates of all 12 atoms:
1 Ho 0.059 0.704 0.921
2 Ho 0.219 0.359 0.677
3 Ho 0.296 0.941 0.579
4 Ho 0.359 0.219 0.177
5 Ho 0.641 0.781 0.823
6 Ho 0.704 0.059 0.421
7 Ho 0.781 0.641 0.323
8 Ho 0.941 0.296 0.079
9 Al 0.372 0.628 0.250
10 Al 0.628 0.372 0.750
11 Rh 0.001 0.999 0.750
12 Rh 0.999 0.001 0.250

[17]
A plane-wave DFT calculation with GGA-PBE was carried out for NiAsRh after structural relaxation.

Results
- space group = F-43m
- ΔH_f (0 K) (eV/atom) = -0.32

abc: 3.982 3.982 3.982
angles: 60.00 60.00 60.00
Fractional coordinates of all 3 atoms:
1 Ni 0.000 0.000 0.000
2 As 0.750 0.750 0.750
3 Rh 0.500 0.500 0.500

[18]
A plane-wave DFT calculation with GGA-PBE was carried out for CsCaHgF6 after structural relaxation.

Results
- energy (eV/atom) = -4.025
- space group = Imma

abc: 8.130 8.130 8.130
angles: 120.54 117.30 91.90
Fractional coordinates of all 18 atoms:
1 Cs 0.361 0.111 0.250
2 Cs 0.639 0.889 0.750
3 Ca 0.000 0.000 0.500
4 Ca 0.000 0.500 0.000
5 Hg 0.000 0.500 0.500
6 Hg 0.500 0.500 0.000
7 F 0.082 0.832 0.250
8 F 0.083 0.426 0.258
9 F 0.083 0.825 0.657
10 F 0.322 0.572 0.750
11 F 0.332 0.175 0.758
12 F 0.332 0.574 0.157
13 F 0.668 0.426 0.843
14 F 0.668 0.825 0.242
15 F 0.678 0.428 0.250
16 F 0.917 0.175 0.343
17 F 0.917 0.574 0.742
18 F 0.918 0.168 0.750

[19]
A plane-wave DFT calculation with GGA-PBE was carried out for Pr2Y2Mg after structural relaxation.

Results
- space group = I4/mmm
- energy above the lowest structure with this stoichiometry (eV per atom) = 0.000
- ΔH_f (0 K) (eV/atom) = -0.03

abc: 11.966 11.966 11.966
angles: 162.18 162.18 25.31
Fractional coordinates of all 5 atoms:
1 Pr 0.193 0.193 0.000
2 Pr 0.807 0.807 0.000
3 Y 0.415 0.415 0.000
4 Y 0.585 0.585 0.000
5 Mg 0.000 0.000 0.000

[20]
A plane-wave DFT calculation with GGA-PBE was carried out for DyMg2ReN4 after structural relaxation.

Results
- energy (eV/atom) = -7.286
- space group = Cmcm

abc: 5.890 5.890 11.127
angles: 90.00 90.00 148.05
Fractional coordinates of all 16 atoms:
1 Dy 0.085 0.915 0.750
2 Dy 0.915 0.085 0.250
3 Mg 0.384 0.616 0.527
4 Mg 0.384 0.616 0.973
5 Mg 0.616 0.384 0.027
6 Mg 0.616 0.384 0.473
7 Re 0.175 0.825 0.250
8 Re 0.825 0.175 0.750
9 N 0.000 0.000 0.000
10 N 0.000 0.000 0.500
11 N 0.272 0.728 0.120
12 N 0.272 0.728 0.380
13 N 0.433 0.567 0.750
14 N 0.567 0.433 0.250
15 N 0.728 0.272 0.620
16 N 0.728 0.272 0.880